Ce3P2Br2: relaxed, GGA-PBE.

Lattice parameters (Å, degrees): 7.155 7.155 7.544 99.02 99.02 33.21
Atoms (fractional coordinates):
Ce (0.000, 0.000, 0.000)
Ce (0.240, 0.240, 0.773)
Ce (0.760, 0.760, 0.227)
P (0.374, 0.374, 0.103)
P (0.626, 0.626, 0.897)
Br (0.124, 0.124, 0.379)
Br (0.876, 0.876, 0.621)

The uncorrected formation energy is -972 kJ/mol of formula units.

=====

LiNbPO2: relaxed, GGA-PBE.

Lattice parameters (Å, degrees): 3.933 3.933 5.247 90.00 90.00 90.00
Atoms (fractional coordinates):
Li (0.000, 0.000, 0.000)
Nb (0.500, 0.500, 0.500)
P (0.500, 0.500, 0.000)
O (0.000, 0.500, 0.500)
O (0.500, 0.000, 0.500)

The uncorrected formation energy is -641 kJ/mol of formula units. The calculation puts the excess energy over the best structure of this formula in the dataset at 0.000 eV/atom.

=====

| no. | Fermi-level density of states (states/eV per cell) | E (Ry/atom) |
| --- | --- | --- |
| 1 | 17.95 | -0.4414 |
| 2 | 2.92 | -0.4990 |